1.
# Mg2CrPW

A geometry-optimized Mg2CrPW structure (PBEsol, Alexandria via LeMat-Bulk).

Magnetization, μB per formula unit: 0.813
Energy of formation from the pure elements, eV/atom: 1.37

a = 4.893 Å, b = 4.893 Å, c = 4.277 Å
α = 90.00°, β = 90.00°, γ = 90.00°
Positions (direct):
Mg: 0.000 0.500 0.000
Mg: 0.500 0.000 0.000
Cr: 0.000 0.000 0.000
P: 0.500 0.500 0.500
W: 0.000 0.000 0.500

***

2.
# HfMgZnRh2

A geometry-optimized HfMgZnRh2 structure (PBEsol, Alexandria via LeMat-Bulk).

Magnetization, μB per formula unit: 0.000
Energy of formation from the pure elements, eV/atom: 0.39

a = 4.529 Å, b = 4.529 Å, c = 4.328 Å
α = 90.00°, β = 90.00°, γ = 90.00°
Positions (direct):
Hf: 0.000 0.000 0.000
Mg: 0.500 0.500 0.000
Zn: 0.500 0.500 0.500
Rh: 0.000 0.500 0.500
Rh: 0.500 0.000 0.500

***

Question: Look up the magnetization of the second one.
Answer: 0.000 μB per formula unit

***

Question: Number 2 is which compound?
Answer: HfMgZnRh2